1.
Computed, not measured: an optimized crystal structure of Li4Pd4Pb3 at the PBE level of DFT.

Summary:
SG	P-1
formation energy	-0.335	eV per atom

Unit cell a=3.3381 b=3.6730 c=18.1602 alpha=84.38 beta=62.64 gamma=89.96
Fractional positions:
1 Pd 0.9269 0.1816 0.6283
2 Pd 0.2497 0.4523 0.1004
3 Pd 0.7503 0.5478 0.8996
4 Pd 0.0732 0.8184 0.3717
5 Li 0.5590 0.9146 0.1769
6 Li 0.3617 0.2738 0.4557
7 Li 0.6383 0.7262 0.5442
8 Li 0.4410 0.0855 0.8231
9 Pb 0.1955 0.6364 0.7206
10 Pb 0.8045 0.3636 0.2794
11 Pb 0.0000 0.0000 0.0000

2.
Computed, not measured: an optimized crystal structure of CaAc6La5 at the PBE level of DFT.

Summary:
SG	Immm
formation energy	0.022	eV per atom

Unit cell a=5.5261 b=10.2573 c=10.2573 alpha=106.92 beta=105.62 gamma=105.62
Fractional positions:
1 La 0.5000 0.1711 0.8289
2 La 0.5000 0.5000 0.5000
3 La 0.5000 0.8289 0.1711
4 La 0.0000 0.6675 0.3325
5 La 0.0000 0.3325 0.6675
6 Ac 0.7567 0.2565 0.2565
7 Ac 0.2528 0.4212 0.0844
8 Ac 0.2528 0.0844 0.4212
9 Ac 0.7472 0.5788 0.9156
10 Ac 0.7472 0.9156 0.5788
11 Ac 0.2433 0.7435 0.7435
12 Ca 0.0000 0.0000 0.0000

What did the first record say?
Computed, not measured: an optimized crystal structure of Li4Pd4Pb3 at the PBE level of DFT.

Summary:
SG	P-1
formation energy	-0.335	eV per atom

Unit cell a=3.3381 b=3.6730 c=18.1602 alpha=84.38 beta=62.64 gamma=89.96
Fractional positions:
1 Pd 0.9269 0.1816 0.6283
2 Pd 0.2497 0.4523 0.1004
3 Pd 0.7503 0.5478 0.8996
4 Pd 0.0732 0.8184 0.3717
5 Li 0.5590 0.9146 0.1769
6 Li 0.3617 0.2738 0.4557
7 Li 0.6383 0.7262 0.5442
8 Li 0.4410 0.0855 0.8231
9 Pb 0.1955 0.6364 0.7206
10 Pb 0.8045 0.3636 0.2794
11 Pb 0.0000 0.0000 0.0000

- The lowest formation energy belongs to which entry?
  Li4Pd4Pb3

- Which of these has the lowest formation energy?
  Li4Pd4Pb3